CsAg2Te2: optimized geometry, PBE.

Results
Its density of states at the Fermi level is 3.5 states/eV/f.u. As for the total DFT energy (no corrections): -29.918 eV/cell. The value obtained for the volume is 33.08 Å³ per atom. The calculation puts the energy relative to the lowest polymorph listed for this composition at 0.0000 eV/atom. As for the raw formation energy: -0.42 eV per atom.

a = 4.681 Å, b = 4.681 Å, c = 15.094 Å
α = 90.00°, β = 90.00°, γ = 90.00°
Space group I4/mmm (No. 139)
Symmetry-distinct sites (fractional):
Cs 0.000 0.000 0.000 x2
Ag 0.000 0.500 0.250 x4
Te 0.000 0.000 0.359 x4



BeV6C3: optimized geometry, PBE.

Results
Its density of states at the Fermi level is 5.4 states/eV/f.u. As for the total DFT energy (no corrections): -179.912 eV/cell. The value obtained for the volume is 10.49 Å³ per atom. As for the energy of formation: -0.3847 eV/atom.

a = 8.577 Å, b = 2.983 Å, c = 8.786 Å
α = 90.00°, β = 111.06°, γ = 90.00°
Space group P2_1/m (No. 11)
Symmetry-distinct sites (fractional):
Be 0.063 0.250 0.209 x2
V 0.076 0.750 0.416 x2
V 0.123 0.250 0.963 x2
V 0.210 0.750 0.746 x2
V 0.285 0.750 0.233 x2
V 0.384 0.250 0.546 x2
V 0.476 0.250 0.111 x2
C 0.160 0.250 0.581 x2
C 0.313 0.750 0.000 x2
C 0.451 0.250 0.342 x2



SiAg2S3: optimized geometry, PBE.

Results
As for the total DFT energy (no corrections): -100.721 eV/cell. The value obtained for the volume is 22.01 Å³ per atom. As for the raw formation energy: -0.28 eV per atom.

a = 11.436 Å, b = 7.298 Å, c = 6.359 Å
α = 90.00°, β = 95.62°, γ = 90.00°
Space group C2/c (No. 15)
Symmetry-distinct sites (fractional):
Si 0.000 0.078 0.250 x4
Ag 0.163 0.478 0.002 x8
S 0.000 0.377 0.250 x4
S 0.123 0.070 0.968 x8



CaTb2Ce: optimized geometry, PBE.

Results
Its density of states at the Fermi level is 8.8 states/eV/f.u. As for the total DFT energy (no corrections): -16.421 eV/cell. The value obtained for the volume is 33.43 Å³ per atom. The calculation puts the energy relative to the lowest polymorph listed for this composition at 0.1086 eV/atom. As for the energy of formation: 0.1938 eV/atom.

a = 5.138 Å, b = 5.138 Å, c = 5.065 Å
α = 90.00°, β = 90.00°, γ = 90.00°
Space group P4/mmm (No. 123)
Symmetry-distinct sites (fractional):
Ca 0.000 0.000 0.000 x1
Tb 0.000 0.500 0.500 x2
Ce 0.500 0.500 0.000 x1



CaFeP2: optimized geometry, PBE.

Results
Its density of states at the Fermi level is 4.2 states/eV/f.u. As for the total DFT energy (no corrections): -42.395 eV/cell. The value obtained for the volume is 17.06 Å³ per atom. The calculation puts the energy relative to the lowest polymorph listed for this composition at 0.6619 eV/atom. As for the energy of formation: 0.0216 eV/atom.

a = 3.817 Å, b = 3.817 Å, c = 9.367 Å
α = 90.00°, β = 90.00°, γ = 90.00°
Space group I-4m2 (No. 119)
Symmetry-distinct sites (fractional):
Ca 0.000 0.000 0.000 x2
Fe 0.000 0.500 0.750 x2
P 0.000 0.000 0.500 x2
P 0.000 0.500 0.250 x2



LuMnInRh: optimized geometry, PBE.

Results
Its density of states at the Fermi level is 2.0 states/eV/f.u. As for the total DFT energy (no corrections): -100.984 eV/cell. The value obtained for the volume is 18.34 Å³ per atom. As for the energy of formation: -0.3664 eV/atom.

a = 6.645 Å, b = 6.645 Å, c = 6.645 Å
α = 90.00°, β = 90.00°, γ = 90.00°
Space group F-43m (No. 216)
Symmetry-distinct sites (fractional):
Lu 0.000 0.000 0.000 x4
Mn 0.250 0.250 0.250 x4
In 0.000 0.000 0.500 x4
Rh 0.250 0.250 0.750 x4



Pa2GaSn: optimized geometry, PBE.

Results
Its density of states at the Fermi level is 7.6 states/eV/f.u. As for the total DFT energy (no corrections): -107.146 eV/cell. The value obtained for the volume is 23.55 Å³ per atom. The calculation puts the energy relative to the lowest polymorph listed for this composition at 0.0160 eV/atom. As for the energy of formation: -0.1913 eV/atom.

a = 6.447 Å, b = 8.865 Å, c = 6.594 Å
α = 90.00°, β = 90.00°, γ = 90.00°
Space group Imma (No. 74)
Symmetry-distinct sites (fractional):
Pa 0.250 0.019 0.250 x8
Ga 0.000 0.250 0.521 x4
Sn 0.000 0.250 0.965 x4



Al2TlW: optimized geometry, PBE.

Results
Its density of states at the Fermi level is 3.2 states/eV/f.u. As for the total DFT energy (no corrections): -78.995 eV/cell. The value obtained for the volume is 17.92 Å³ per atom. The calculation puts the energy relative to the lowest polymorph listed for this composition at 0.4786 eV/atom. As for the energy of formation: 0.7639 eV/atom.

a = 6.594 Å, b = 6.594 Å, c = 6.594 Å
α = 90.00°, β = 90.00°, γ = 90.00°
Space group Fm-3m (No. 225)
Symmetry-distinct sites (fractional):
Al 0.250 0.250 0.250 x8
Tl 0.000 0.000 0.000 x4
W 0.000 0.000 0.500 x4